YAlAu2, optimized geometry, DFT PBE; calculated volume = 20.325 Å³ per atom; energy relative to the elements = -575 meV per atom; M_tot = 0.0 μB per cell
1.0
4.683 0.000 0.000
0.000 4.683 0.000
0.000 0.000 3.707
Y Al Au
1 1 2
Direct
0.000 0.000 0.000
0.500 0.500 0.000
0.000 0.500 0.500
0.500 0.000 0.500